Li2CrC2O6: optimized geometry, PBE+U.

Final energy in eV/atom: -7.1129
Space-group type: No. 43
E above lowest polymorph in meV per atom: 5

a b c (Å): 9.928 8.761 6.095
angles (deg): 81.74 60.84 37.41
Site moments in Bohr magnetons follow the coordinates.
Atoms (fractional coordinates):
O  0.075  0.168  0.856  -0.02
O  0.394  0.348  0.175  -0.02
C  0.331  0.972  0.619  0.01
Cr  0.991  0.009  0.009  3.79
C  0.078  0.619  0.972  0.01
Li  0.136  0.714  0.455  0.00
Li  0.795  0.554  0.114  0.00
O  0.720  0.000  0.743  0.01
O  0.406  0.046  0.469  -0.01
Li  0.696  0.455  0.714  0.00
O  0.781  0.170  0.844  -0.01
O  0.204  0.844  0.170  -0.01
Cr  0.241  0.259  0.259  3.79
C  0.278  0.919  0.172  0.01
O  0.507  0.713  0.530  0.01
O  0.902  0.856  0.168  -0.02
O  0.537  0.743  0.000  0.01
C  0.631  0.172  0.919  0.01
Li  0.536  0.114  0.554  0.00
O  0.080  0.469  0.046  -0.01
O  0.082  0.175  0.348  -0.02
O  0.250  0.530  0.713  0.01